VASP calculation (GGA+U) on a geometry-optimized Mn2CuO structure.

Structure (POSCAR):
```
Mn2CuO
1.0
6.1468 0.0000 0.0000
0.0000 6.1468 0.0000
3.0734 3.0734 3.3178
O Mn Cu
2 4 2
direct
0.2500 0.7500 0.5000
0.5000 0.5000 0.0000
0.1955 0.6250 0.2500
0.3750 0.4455 0.7500
0.8750 0.8045 0.7500
0.5545 0.1250 0.2500
0.7500 0.2500 0.5000
0.0000 0.0000 0.0000
```

Summary:
Total energy, eV/atom: -6.3206